[1]
First-principles (PBE-GGA) data for a geometry-optimized PmAlRu structure, as listed in the Alexandria database. Values from VASP.

```
&SYSTEM
  ibrav = 0, nat = 3, ntyp = 3
/
ATOMIC_SPECIES
Al 26.98 Al.upf
Pm 145.00 Pm.upf
Ru 101.07 Ru.upf
ATOMIC_POSITIONS angstrom
Al -0.532 -0.352 0.121
Pm -2.066 -0.680 2.883
Ru 0.744 -1.701 1.809
CELL_PARAMETERS angstrom
-3.191 -2.113 0.723
2.490 -3.426 0.977
-1.153 2.807 3.113
```

Total magnetic moment   0.00 μB per formula unit
Polymorph energy (0 for the lowest one)   0.151 eV/atom


[2]
First-principles (PBE-GGA) data for a geometry-optimized KBiHF2 structure, as listed in the Alexandria database. Values from VASP.

```
&SYSTEM
  ibrav = 0, nat = 5, ntyp = 4
/
ATOMIC_SPECIES
H 1.01 H.upf
F 19.00 F.upf
K 39.10 K.upf
Bi 208.98 Bi.upf
ATOMIC_POSITIONS angstrom
H 2.258 3.472 2.258
F 2.258 0.000 0.000
K 0.000 0.000 0.000
F 0.000 0.000 2.258
Bi 0.000 3.472 0.000
CELL_PARAMETERS angstrom
4.516 0.000 0.000
0.000 6.945 0.000
0.000 0.000 4.516
```

Total magnetic moment   1.01 μB per formula unit
Total energy   -2.605 eV per atom


[3]
First-principles (PBE-GGA) data for a geometry-optimized LiSi structure, as listed in the Alexandria database. Values from VASP.

```
&SYSTEM
  ibrav = 0, nat = 12, ntyp = 2
/
ATOMIC_SPECIES
Si 28.09 Si.upf
Li 6.94 Li.upf
ATOMIC_POSITIONS angstrom
Si 3.481 0.000 1.741
Li 3.481 1.741 0.000
Li 0.000 3.481 1.741
Si 0.000 1.741 3.481
Si 3.481 0.000 5.222
Si 1.741 3.481 0.000
Si 5.222 3.481 0.000
Li 0.000 3.481 5.222
Si 0.000 5.222 3.481
Li 5.222 0.000 3.481
Li 3.481 5.222 0.000
Li 1.741 0.000 3.481
CELL_PARAMETERS angstrom
6.963 0.000 0.000
0.000 6.963 0.000
0.000 0.000 6.963
```

E_form (uncorrected)   2.188 eV per formula unit
Total magnetic moment   0.00 μB per formula unit


[4]
First-principles (PBE-GGA) data for a geometry-optimized CaHo2Pa structure, as listed in the Alexandria database. Values from VASP.

```
&SYSTEM
  ibrav = 0, nat = 4, ntyp = 3
/
ATOMIC_SPECIES
Ca 40.08 Ca.upf
Ho 164.93 Ho.upf
Pa 231.04 Pa.upf
ATOMIC_POSITIONS angstrom
Ca 0.000 0.000 0.000
Ho -1.739 1.976 8.542
Pa -2.842 -0.528 6.628
Ho -3.945 -3.032 4.715
CELL_PARAMETERS angstrom
-3.217 -1.206 0.321
-0.541 -3.145 1.315
-1.926 3.295 11.621
```

Total magnetic moment   0.00 μB per formula unit
Polymorph energy (0 for the lowest one)   0.078 eV/atom


[5]
First-principles (PBE-GGA) data for a geometry-optimized Li2CaCdO structure, as listed in the Alexandria database. Values from VASP.

```
&SYSTEM
  ibrav = 0, nat = 5, ntyp = 4
/
ATOMIC_SPECIES
Li 6.94 Li.upf
Cd 112.41 Cd.upf
Ca 40.08 Ca.upf
O 16.00 O.upf
ATOMIC_POSITIONS angstrom
Li 2.285 0.000 0.000
Cd 0.000 0.000 0.000
Ca 0.000 3.135 0.000
O 2.285 3.135 2.285
Li 0.000 0.000 2.285
CELL_PARAMETERS angstrom
4.571 0.000 0.000
0.000 6.270 0.000
0.000 0.000 4.571
```

E_form (uncorrected)   1.114 eV per formula unit
Total magnetic moment   0.45 μB per formula unit


[6]
First-principles (PBE-GGA) data for a geometry-optimized BCSCl2 structure, as listed in the Alexandria database. Values from VASP.

```
&SYSTEM
  ibrav = 0, nat = 5, ntyp = 4
/
ATOMIC_SPECIES
S 32.06 S.upf
Cl 35.45 Cl.upf
C 12.01 C.upf
B 10.81 B.upf
ATOMIC_POSITIONS angstrom
S 0.000 0.000 2.286
Cl 0.000 2.070 0.000
C 2.070 2.070 2.286
B 0.000 0.000 0.000
Cl 2.070 0.000 0.000
CELL_PARAMETERS angstrom
4.140 0.000 0.000
0.000 4.140 0.000
0.000 0.000 4.571
```

E_form (uncorrected)   8.934 eV per formula unit
Total magnetic moment   0.71 μB per formula unit
Polymorph energy (0 for the lowest one)   0.029 eV/atom


[7]
First-principles (PBE-GGA) data for a geometry-optimized Ca3MgNi2 structure, as listed in the Alexandria database. Values from VASP.

```
&SYSTEM
  ibrav = 0, nat = 12, ntyp = 3
/
ATOMIC_SPECIES
Ni 58.69 Ni.upf
Ca 40.08 Ca.upf
Mg 24.30 Mg.upf
ATOMIC_POSITIONS angstrom
Ni -4.900 -1.610 -0.172
Ca -9.944 -8.779 3.208
Ca -3.091 -7.096 0.442
Mg -9.946 -7.695 0.117
Ni -11.240 -6.281 1.950
Ni -8.259 -9.694 0.962
Ca -3.215 -2.525 -2.417
Mg -3.213 -3.609 0.674
Ca -6.233 -4.128 -0.654
Ca -10.068 -4.208 0.348
Ni -1.919 -5.023 -1.159
Ca -6.926 -7.175 1.444
CELL_PARAMETERS angstrom
-0.817 -2.082 -3.292
-2.162 -8.009 3.195
-10.179 -1.213 0.888
```

Total magnetic moment   0.00 μB per formula unit
Total energy   -3.323 eV per atom


[8]
First-principles (PBE-GGA) data for a geometry-optimized TcNiSe2 structure, as listed in the Alexandria database. Values from VASP.

```
&SYSTEM
  ibrav = 0, nat = 4, ntyp = 3
/
ATOMIC_SPECIES
Ni 58.69 Ni.upf
Se 78.96 Se.upf
Tc 98.00 Tc.upf
ATOMIC_POSITIONS angstrom
Ni -2.808 0.007 -0.766
Se -1.294 -1.786 -1.900
Se 0.000 0.000 0.000
Tc -2.615 0.111 -3.668
CELL_PARAMETERS angstrom
-4.129 1.904 -2.534
-1.100 -1.682 -4.802
1.128 -2.002 4.671
```

E_form (uncorrected)   1.700 eV per formula unit
Total magnetic moment   0.00 μB per formula unit
Polymorph energy (0 for the lowest one)   0.702 eV/atom


Number 1: calculated volume 21.24 Å³/atom. Number 2: calculated volume 28.33 Å³/atom. Number 3: calculated volume 28.13 Å³/atom. Number 4: calculated volume 31.12 Å³/atom. Number 5: calculated volume 26.20 Å³/atom. Number 6: calculated volume 15.67 Å³/atom. Number 7: calculated volume 27.18 Å³/atom. Number 8: calculated volume 15.31 Å³/atom.